[1]
Compound: La6SmEr2Tm
Source: Alexandria via LeMat-Bulk
Functional: PBE-GGA
Structure: relaxed

a b c (Å): 9.013 9.013 9.792
angles (deg): 94.29 94.29 117.42
Atoms (fractional coordinates):
La  0.002  0.561  0.193
La  0.109  0.759  0.552
La  0.241  0.891  0.948
La  0.297  0.510  0.381
La  0.439  0.998  0.307
La  0.490  0.703  0.119
La  0.510  0.297  0.881
La  0.561  0.002  0.693
La  0.703  0.490  0.619
La  0.759  0.109  0.052
La  0.891  0.241  0.448
La  0.998  0.439  0.807
Sm  0.025  0.975  0.250
Sm  0.975  0.025  0.750
Er  0.199  0.293  0.047
Er  0.293  0.199  0.547
Er  0.707  0.801  0.453
Er  0.801  0.707  0.953
Tm  0.412  0.588  0.750
Tm  0.588  0.412  0.250

Values from the calculation:
For the theoretical density, the calculation gives 7.07 Mg/m³. For the formation energy, the calculation gives 0.108 eV/atom. As for the space-group type: No. 15. The value obtained for the total energy is -4.68 eV/atom.



[2]
Compound: LaSm2Er2Tm
Source: Alexandria via LeMat-Bulk
Functional: PBE-GGA
Structure: relaxed

a b c (Å): 6.946 16.251 3.524
angles (deg): 90.00 90.00 90.00
Atoms (fractional coordinates):
La  0.000  0.000  0.000
La  0.500  0.500  0.500
Sm  0.247  0.340  0.000
Sm  0.253  0.840  0.500
Sm  0.747  0.160  0.500
Sm  0.753  0.660  0.000
Er  0.250  0.154  0.500
Er  0.250  0.654  0.000
Er  0.750  0.346  0.000
Er  0.750  0.846  0.500
Tm  0.000  0.500  0.500
Tm  0.500  0.000  0.000

Values from the calculation:
For the theoretical density, the calculation gives 7.87 Mg/m³. For the formation energy, the calculation gives 0.161 eV/atom. As for the space-group type: No. 58. The value obtained for the total energy is -4.50 eV/atom.



[3]
Compound: La3Sm6Er2Tm
Source: Alexandria via LeMat-Bulk
Functional: PBE-GGA
Structure: relaxed

a b c (Å): 6.287 6.287 12.023
angles (deg): 95.01 95.01 120.05
Atoms (fractional coordinates):
La  0.000  0.000  0.000
La  0.333  0.667  0.000
La  0.667  0.333  0.000
Sm  0.086  0.419  0.257
Sm  0.248  0.248  0.743
Sm  0.419  0.086  0.257
Sm  0.581  0.914  0.743
Sm  0.752  0.752  0.257
Sm  0.914  0.581  0.743
Er  0.167  0.833  0.500
Er  0.833  0.167  0.500
Tm  0.500  0.500  0.500

Values from the calculation:
For the theoretical density, the calculation gives 7.47 Mg/m³. For the formation energy, the calculation gives 0.024 eV/atom. As for the space-group type: No. 12. The value obtained for the total energy is -4.70 eV/atom.



[4]
Compound: La4Sm2ErTm
Source: Alexandria via LeMat-Bulk
Functional: PBE-GGA
Structure: relaxed

a b c (Å): 5.212 5.246 10.078
angles (deg): 90.00 90.00 90.00
Atoms (fractional coordinates):
La  0.000  0.000  0.249
La  0.000  0.000  0.751
La  0.500  0.500  0.250
La  0.500  0.500  0.750
Sm  0.000  0.500  0.000
Sm  0.500  0.000  0.500
Er  0.000  0.500  0.500
Tm  0.500  0.000  0.000

Values from the calculation:
For the theoretical density, the calculation gives 7.19 Mg/m³. For the formation energy, the calculation gives 0.018 eV/atom. As for the space-group type: No. 47. The value obtained for the total energy is -4.75 eV/atom.



[5]
Compound: LaSmErTm
Source: Alexandria via LeMat-Bulk
Functional: PBE-GGA
Structure: relaxed

a b c (Å): 5.731 5.731 5.731
angles (deg): 60.00 60.00 60.00
Atoms (fractional coordinates):
La  0.000  0.000  0.000
Sm  0.500  0.500  0.500
Er  0.750  0.750  0.750
Tm  0.250  0.250  0.250

Values from the calculation:
For the theoretical density, the calculation gives 7.80 Mg/m³. For the formation energy, the calculation gives 0.093 eV/atom. As for the space-group type: No. 216. The value obtained for the total energy is -4.58 eV/atom.



[6]
Compound: LaSm2Er5Tm
Source: Alexandria via LeMat-Bulk
Functional: PBE-GGA
Structure: relaxed

a b c (Å): 9.805 9.805 9.805
angles (deg): 126.86 126.86 78.48
Atoms (fractional coordinates):
La  0.250  0.250  0.000
La  0.750  0.750  0.000
Sm  0.116  0.616  0.731
Sm  0.384  0.116  0.500
Sm  0.616  0.884  0.500
Sm  0.884  0.384  0.269
Er  0.000  0.000  0.000
Er  0.073  0.157  0.500
Er  0.157  0.657  0.084
Er  0.343  0.427  0.500
Er  0.427  0.927  0.084
Er  0.500  0.500  0.000
Er  0.573  0.073  0.916
Er  0.657  0.573  0.500
Er  0.843  0.343  0.916
Er  0.927  0.843  0.500
Tm  0.250  0.750  0.500
Tm  0.750  0.250  0.500

Values from the calculation:
For the theoretical density, the calculation gives 8.21 Mg/m³. For the formation energy, the calculation gives 0.271 eV/atom. As for the space-group type: No. 140. The value obtained for the total energy is -4.36 eV/atom.



[7]
Compound: La2Sm6ErTm3
Source: Alexandria via LeMat-Bulk
Functional: PBE-GGA
Structure: relaxed

a b c (Å): 6.249 6.249 11.926
angles (deg): 95.02 95.02 120.02
Atoms (fractional coordinates):
La  0.166  0.834  0.000
La  0.834  0.166  0.000
Sm  0.083  0.415  0.744
Sm  0.253  0.253  0.256
Sm  0.415  0.083  0.744
Sm  0.585  0.917  0.256
Sm  0.747  0.747  0.744
Sm  0.917  0.585  0.256
Er  0.500  0.500  0.000
Tm  0.000  0.000  0.500
Tm  0.334  0.666  0.500
Tm  0.666  0.334  0.500

Values from the calculation:
For the theoretical density, the calculation gives 7.75 Mg/m³. For the formation energy, the calculation gives 0.024 eV/atom. As for the space-group type: No. 12. The value obtained for the total energy is -4.65 eV/atom.



[8]
Compound: La2SmErTm5
Source: Alexandria via LeMat-Bulk
Functional: PBE-GGA
Structure: relaxed

a b c (Å): 10.179 10.179 10.740
angles (deg): 90.00 90.00 147.94
Atoms (fractional coordinates):
La  0.113  0.887  0.500
La  0.115  0.885  0.085
La  0.885  0.115  0.585
La  0.887  0.113  0.000
Sm  0.417  0.583  0.229
Sm  0.583  0.417  0.729
Er  0.202  0.798  0.779
Er  0.798  0.202  0.279
Tm  0.017  0.983  0.794
Tm  0.283  0.717  0.076
Tm  0.298  0.702  0.476
Tm  0.388  0.612  0.788
Tm  0.481  0.519  0.506
Tm  0.519  0.481  0.006
Tm  0.612  0.388  0.288
Tm  0.702  0.298  0.976
Tm  0.717  0.283  0.576
Tm  0.983  0.017  0.294

Values from the calculation:
For the theoretical density, the calculation gives 8.10 Mg/m³. For the formation energy, the calculation gives 0.143 eV/atom. As for the space-group type: No. 36. The value obtained for the total energy is -4.47 eV/atom.



[9]
Compound: LaSmY2Er5
Source: Alexandria via LeMat-Bulk
Functional: PBE-GGA
Structure: relaxed

a b c (Å): 9.778 9.778 9.778
angles (deg): 126.38 126.38 79.27
Atoms (fractional coordinates):
La  0.250  0.250  0.000
La  0.750  0.750  0.000
Sm  0.250  0.750  0.500
Sm  0.750  0.250  0.500
Y  0.116  0.616  0.731
Y  0.384  0.116  0.500
Y  0.616  0.884  0.500
Y  0.884  0.384  0.269
Er  0.000  0.000  0.000
Er  0.072  0.161  0.500
Er  0.161  0.661  0.089
Er  0.339  0.428  0.500
Er  0.428  0.928  0.089
Er  0.500  0.500  0.000
Er  0.572  0.072  0.911
Er  0.661  0.572  0.500
Er  0.839  0.339  0.911
Er  0.928  0.839  0.500

Values from the calculation:
For the theoretical density, the calculation gives 7.39 Mg/m³. For the formation energy, the calculation gives 0.287 eV/atom. As for the space-group type: No. 140. The value obtained for the total energy is -4.76 eV/atom.



[10]
Compound: La2SmY2Er2
Source: Alexandria via LeMat-Bulk
Functional: PBE-GGA
Structure: relaxed

a b c (Å): 6.084 6.084 12.029
angles (deg): 101.17 101.17 33.14
Atoms (fractional coordinates):
La  0.203  0.203  0.364
La  0.797  0.797  0.636
Sm  0.500  0.500  0.500
Y  0.091  0.091  0.780
Y  0.909  0.909  0.220
Er  0.156  0.156  0.070
Er  0.844  0.844  0.930

Values from the calculation:
For the theoretical density, the calculation gives 6.55 Mg/m³. For the formation energy, the calculation gives 0.169 eV/atom. As for the space-group type: No. 12. The value obtained for the total energy is -5.06 eV/atom.



[11]
Compound: LaSmYEr2
Source: Alexandria via LeMat-Bulk
Functional: PBE-GGA
Structure: relaxed

a b c (Å): 7.146 7.146 7.240
angles (deg): 90.00 90.00 107.89
Atoms (fractional coordinates):
La  0.228  0.772  0.750
La  0.772  0.228  0.250
Sm  0.492  0.508  0.750
Sm  0.508  0.492  0.250
Y  0.223  0.777  0.250
Y  0.777  0.223  0.750
Er  0.188  0.188  0.000
Er  0.188  0.188  0.500
Er  0.812  0.812  0.000
Er  0.812  0.812  0.500

Values from the calculation:
For the theoretical density, the calculation gives 6.73 Mg/m³. For the formation energy, the calculation gives 0.355 eV/atom. As for the space-group type: No. 63. The value obtained for the total energy is -4.69 eV/atom.



[12]
Compound: LaSm5Y2Er
Source: Alexandria via LeMat-Bulk
Functional: PBE-GGA
Structure: relaxed

a b c (Å): 9.718 9.718 9.718
angles (deg): 122.46 122.46 85.80
Atoms (fractional coordinates):
La  0.250  0.250  0.000
La  0.750  0.750  0.000
Sm  0.000  0.000  0.000
Sm  0.072  0.572  0.906
Sm  0.166  0.072  0.500
Sm  0.334  0.834  0.906
Sm  0.428  0.334  0.500
Sm  0.500  0.500  0.000
Sm  0.572  0.666  0.500
Sm  0.666  0.166  0.094
Sm  0.834  0.928  0.500
Sm  0.928  0.428  0.094
Y  0.110  0.390  0.500
Y  0.390  0.890  0.281
Y  0.610  0.110  0.719
Y  0.890  0.610  0.500
Er  0.250  0.750  0.500
Er  0.750  0.250  0.500

Values from the calculation:
For the theoretical density, the calculation gives 6.59 Mg/m³. For the formation energy, the calculation gives 0.301 eV/atom. As for the space-group type: No. 140. The value obtained for the total energy is -4.81 eV/atom.



[13]
Compound: La4Sm2YEr2
Source: Alexandria via LeMat-Bulk
Functional: PBE-GGA
Structure: relaxed

a b c (Å): 9.651 9.651 8.951
angles (deg): 90.07 90.07 21.79
Atoms (fractional coordinates):
La  0.055  0.055  0.170
La  0.277  0.277  0.826
La  0.723  0.723  0.174
La  0.945  0.945  0.830
Sm  0.388  0.388  0.173
Sm  0.612  0.612  0.827
Y  0.500  0.500  0.500
Er  0.167  0.167  0.501
Er  0.833  0.833  0.499

Values from the calculation:
For the theoretical density, the calculation gives 6.87 Mg/m³. For the formation energy, the calculation gives 0.028 eV/atom. As for the space-group type: No. 12. The value obtained for the total energy is -4.94 eV/atom.



[14]
Compound: LaSm3Y6Er2
Source: Alexandria via LeMat-Bulk
Functional: PBE-GGA
Structure: relaxed

a b c (Å): 6.219 6.219 11.883
angles (deg): 94.99 94.99 119.98
Atoms (fractional coordinates):
La  0.000  0.000  0.000
Sm  0.167  0.833  0.500
Sm  0.500  0.500  0.500
Sm  0.833  0.167  0.500
Y  0.084  0.418  0.250
Y  0.251  0.251  0.750
Y  0.418  0.084  0.250
Y  0.582  0.916  0.750
Y  0.749  0.749  0.250
Y  0.916  0.582  0.750
Er  0.333  0.667  0.000
Er  0.667  0.333  0.000

Values from the calculation:
For the theoretical density, the calculation gives 6.18 Mg/m³. For the formation energy, the calculation gives 0.019 eV/atom. As for the space-group type: No. 12. The value obtained for the total energy is -5.56 eV/atom.



[15]
Compound: LaSm2YEr2
Source: Alexandria via LeMat-Bulk
Functional: PBE-GGA
Structure: relaxed

a b c (Å): 6.976 16.335 3.535
angles (deg): 90.00 90.00 90.00
Atoms (fractional coordinates):
La  0.000  0.000  0.000
La  0.500  0.500  0.500
Sm  0.247  0.339  0.000
Sm  0.253  0.839  0.500
Sm  0.747  0.161  0.500
Sm  0.753  0.661  0.000
Y  0.000  0.500  0.500
Y  0.500  0.000  0.000
Er  0.249  0.155  0.500
Er  0.251  0.655  0.000
Er  0.749  0.345  0.000
Er  0.751  0.845  0.500

Values from the calculation:
For the theoretical density, the calculation gives 7.12 Mg/m³. For the formation energy, the calculation gives 0.160 eV/atom. As for the space-group type: No. 58. The value obtained for the total energy is -4.83 eV/atom.



[16]
Compound: La3Sm6Y2Er
Source: Alexandria via LeMat-Bulk
Functional: PBE-GGA
Structure: relaxed

a b c (Å): 6.309 6.309 12.068
angles (deg): 95.01 95.01 120.05
Atoms (fractional coordinates):
La  0.000  0.000  0.000
La  0.333  0.667  0.000
La  0.667  0.333  0.000
Sm  0.087  0.419  0.256
Sm  0.249  0.249  0.744
Sm  0.419  0.087  0.256
Sm  0.581  0.913  0.744
Sm  0.751  0.751  0.256
Sm  0.913  0.581  0.744
Y  0.167  0.833  0.500
Y  0.833  0.167  0.500
Er  0.500  0.500  0.500

Values from the calculation:
For the theoretical density, the calculation gives 6.75 Mg/m³. For the formation energy, the calculation gives 0.021 eV/atom. As for the space-group type: No. 12. The value obtained for the total energy is -5.03 eV/atom.



[17]
Compound: La4SmY2Er2
Source: Alexandria via LeMat-Bulk
Functional: PBE-GGA
Structure: relaxed

a b c (Å): 8.136 8.136 8.101
angles (deg): 107.10 107.10 37.07
Atoms (fractional coordinates):
La  0.055  0.055  0.329
La  0.277  0.277  0.669
La  0.723  0.723  0.331
La  0.945  0.945  0.671
Sm  0.500  0.500  0.000
Y  0.388  0.388  0.329
Y  0.612  0.612  0.671
Er  0.168  0.168  0.000
Er  0.832  0.832  0.000

Values from the calculation:
For the theoretical density, the calculation gives 6.58 Mg/m³. For the formation energy, the calculation gives 0.028 eV/atom. As for the space-group type: No. 12. The value obtained for the total energy is -5.14 eV/atom.



[18]
Compound: La2SmY3Er6
Source: Alexandria via LeMat-Bulk
Functional: PBE-GGA
Structure: relaxed

a b c (Å): 6.198 6.198 11.797
angles (deg): 95.02 95.02 119.97
Atoms (fractional coordinates):
La  0.167  0.833  0.000
La  0.833  0.167  0.000
Sm  0.500  0.500  0.000
Y  0.000  0.000  0.500
Y  0.333  0.667  0.500
Y  0.667  0.333  0.500
Er  0.082  0.415  0.746
Er  0.253  0.253  0.254
Er  0.415  0.082  0.746
Er  0.585  0.918  0.254
Er  0.747  0.747  0.746
Er  0.918  0.585  0.254

Values from the calculation:
For the theoretical density, the calculation gives 7.30 Mg/m³. For the formation energy, the calculation gives 0.026 eV/atom. As for the space-group type: No. 12. The value obtained for the total energy is -5.09 eV/atom.



[19]
Compound: La3Sm6YEr2
Source: Alexandria via LeMat-Bulk
Functional: PBE-GGA
Structure: relaxed

a b c (Å): 6.299 6.299 12.045
angles (deg): 95.02 95.02 120.04
Atoms (fractional coordinates):
La  0.000  0.000  0.000
La  0.333  0.667  0.000
La  0.667  0.333  0.000
Sm  0.084  0.419  0.256
Sm  0.247  0.247  0.743
Sm  0.419  0.084  0.256
Sm  0.581  0.916  0.744
Sm  0.753  0.753  0.257
Sm  0.916  0.581  0.744
Y  0.500  0.500  0.500
Er  0.167  0.833  0.500
Er  0.833  0.167  0.500

Values from the calculation:
For the theoretical density, the calculation gives 7.10 Mg/m³. For the formation energy, the calculation gives 0.022 eV/atom. As for the space-group type: No. 12. The value obtained for the total energy is -4.87 eV/atom.



[20]
Compound: La2Sm3Y6Er
Source: Alexandria via LeMat-Bulk
Functional: PBE-GGA
Structure: relaxed

a b c (Å): 6.260 6.260 11.903
angles (deg): 95.01 95.01 119.99
Atoms (fractional coordinates):
La  0.166  0.834  0.000
La  0.834  0.166  0.000
Sm  0.000  0.000  0.500
Sm  0.333  0.667  0.500
Sm  0.667  0.333  0.500
Y  0.084  0.416  0.748
Y  0.252  0.252  0.252
Y  0.416  0.084  0.748
Y  0.584  0.916  0.252
Y  0.748  0.748  0.748
Y  0.916  0.584  0.252
Er  0.500  0.500  0.000

Values from the calculation:
For the theoretical density, the calculation gives 5.97 Mg/m³. For the formation energy, the calculation gives 0.015 eV/atom. As for the space-group type: No. 12. The value obtained for the total energy is -5.60 eV/atom.